# 1
Density functional theory data (PBE-GGA) for an optimized crystal structure of Ce4YIn5.

Values from the calculation:
Calculated formation energy, eV per atom: -0.34
Magnetic moment, μB per atom: 0.49
SG: P4/mmm

Lattice parameters (Å, degrees): 4.0948 4.0948 16.6646 90.00 90.00 90.00
Last column: magnetic moment on the atom in μB.
Sites, in units of the cell vectors:
Ce 0.0000 0.0000 0.2074  0.92
Ce 0.0000 0.0000 0.4001  0.89
Ce 0.0000 0.0000 0.5999  0.89
Ce 0.0000 0.0000 0.7926  0.92
Y 0.0000 0.0000 0.0000  0.14
In 0.5000 0.5000 0.0984  -0.01
In 0.5000 0.5000 0.3028  0.02
In 0.5000 0.5000 0.5000  0.01
In 0.5000 0.5000 0.6972  0.02
In 0.5000 0.5000 0.9016  -0.01

***

# 2
Density functional theory data (PBE-GGA) for an optimized crystal structure of CeY2In3.

Values from the calculation:
Calculated formation energy, eV per atom: -0.45
Magnetic moment, μB per atom: 0.13
SG: P4/mmm

Lattice parameters (Å, degrees): 3.5087 3.5087 13.1840 90.00 90.00 90.00
Last column: magnetic moment on the atom in μB.
Sites, in units of the cell vectors:
Ce 0.5000 0.5000 0.5000  0.77
Y 0.5000 0.5000 0.8374  -0.06
Y 0.5000 0.5000 0.1626  -0.06
In 0.0000 0.0000 0.0000  0.00
In 0.0000 0.0000 0.6725  -0.01
In 0.0000 0.0000 0.3275  -0.01

***

# 3
Density functional theory data (PBE-GGA) for an optimized crystal structure of Ce5YIn6.

Values from the calculation:
Calculated formation energy, eV per atom: -0.38
Magnetic moment, μB per atom: 0.47
SG: C2/m

Lattice parameters (Å, degrees): 5.6976 7.1254 8.8264 66.19 89.39 89.99
Last column: magnetic moment on the atom in μB.
Sites, in units of the cell vectors:
Y 0.0000 0.0000 0.0000  0.09
Ce 0.6522 0.1774 0.6452  0.81
Ce 0.3425 0.3360 0.3281  0.92
Ce 0.0000 0.5000 0.0000  0.92
Ce 0.6575 0.6640 0.6719  0.92
Ce 0.3478 0.8226 0.3548  0.81
In 0.8434 0.5942 0.3303  -0.01
In 0.8434 0.0755 0.3303  -0.01
In 0.5000 0.7677 0.0000  0.00
In 0.5000 0.2323 0.0000  0.00
In 0.1566 0.9245 0.6697  -0.01
In 0.1566 0.4058 0.6697  -0.01

***

# 4
Density functional theory data (PBE-GGA) for an optimized crystal structure of Ce2YIn.

Values from the calculation:
Excess energy over the best structure of this formula in the dataset, meV/atom: 198.8
Calculated formation energy, eV per atom: -0.02
Magnetic moment, μB per atom: 0.78
SG: Fm-3m

Lattice parameters (Å, degrees): 5.5138 5.5138 5.5138 60.00 60.00 60.00
Last column: magnetic moment on the atom in μB.
Sites, in units of the cell vectors:
Y 0.5000 0.5000 0.5000  0.38
Ce 0.2500 0.2500 0.2500  0.96
Ce 0.7500 0.7500 0.7500  0.96
In 0.0000 0.0000 0.0000  -0.02

***

# 5
Density functional theory data (PBE-GGA) for an optimized crystal structure of Ce2YIn2.

Values from the calculation:
Calculated formation energy, eV per atom: -0.28
Magnetic moment, μB per atom: 0.33
SG: C2/m

Lattice parameters (Å, degrees): 4.9197 5.9759 10.5742 94.92 90.00 114.31
Last column: magnetic moment on the atom in μB.
Sites, in units of the cell vectors:
Ce 0.9363 0.8725 0.6096  0.55
Ce 0.1218 0.2437 0.0476  0.73
Ce 0.0637 0.1275 0.3904  0.55
Ce 0.8782 0.7563 0.9524  0.73
Y 0.7618 0.5236 0.2613  0.08
Y 0.2382 0.4764 0.7387  0.08
In 0.3636 0.7272 0.4311  -0.01
In 0.4478 0.8956 0.1595  -0.01
In 0.6364 0.2728 0.5689  -0.01
In 0.5522 0.1044 0.8405  -0.01

***

# 6
Density functional theory data (PBE-GGA) for an optimized crystal structure of CeY2In.

Values from the calculation:
Excess energy over the best structure of this formula in the dataset, meV/atom: 117.2
Calculated formation energy, eV per atom: -0.10
Magnetic moment, μB per atom: 0.29
SG: P2_1/m

Lattice parameters (Å, degrees): 4.7271 4.8575 11.3473 90.00 102.16 90.00
Last column: magnetic moment on the atom in μB.
Sites, in units of the cell vectors:
Ce 0.6959 0.7500 0.3884  0.92
Ce 0.3041 0.2500 0.6116  0.92
Y 0.5588 0.2500 0.1164  0.00
Y 0.4412 0.7500 0.8836  0.00
Y 0.0660 0.7500 0.1305  0.02
Y 0.9340 0.2500 0.8695  0.02
In 0.1629 0.2500 0.3221  -0.02
In 0.8371 0.7500 0.6779  -0.02

***

# 7
Density functional theory data (PBE-GGA) for an optimized crystal structure of CeY5In4.

Values from the calculation:
Calculated formation energy, eV per atom: -0.39
Magnetic moment, μB per atom: 0.06
SG: P4/mmm

Lattice parameters (Å, degrees): 3.5369 3.5369 21.9654 90.00 90.00 90.00
Last column: magnetic moment on the atom in μB.
Sites, in units of the cell vectors:
Ce 0.0000 0.0000 0.0000  0.47
Y 0.5000 0.5000 0.1120  -0.01
Y 0.5000 0.5000 0.3055  0.09
Y 0.5000 0.5000 0.5000  -0.10
Y 0.5000 0.5000 0.6945  0.09
Y 0.5000 0.5000 0.8880  -0.01
In 0.0000 0.0000 0.2077  0.00
In 0.0000 0.0000 0.4025  0.00
In 0.0000 0.0000 0.5975  0.00
In 0.0000 0.0000 0.7923  0.00

***

# 8
Density functional theory data (PBE-GGA) for an optimized crystal structure of Ce2YIn.

Values from the calculation:
Excess energy over the best structure of this formula in the dataset, meV/atom: 33.5
Calculated formation energy, eV per atom: -0.18
Magnetic moment, μB per atom: 0.17
SG: Cmcm

Lattice parameters (Å, degrees): 3.7546 5.1496 11.8606 102.53 90.00 90.00
Last column: magnetic moment on the atom in μB.
Sites, in units of the cell vectors:
Ce 0.7500 0.4354 0.8709  0.33
Ce 0.2500 0.5646 0.1291  0.33
Ce 0.2500 0.9571 0.9150  0.19
Ce 0.7500 0.0429 0.0850  0.19
Y 0.2500 0.2994 0.5989  0.03
Y 0.7500 0.7006 0.4011  0.03
In 0.7500 0.8376 0.6753  0.00
In 0.2500 0.1624 0.3247  0.00

***

> Look up the magnetic moment of the fourth one.

0.78 μB per atom

***

> magnetic moment of number 3 (Ce5YIn6)?

0.47 μB per atom

***

> Which of these has the lowest calculated formation energy?

CeY2In3